VASP calculation (PBE) on Ac8Co3 after structural relaxation.

Computed properties:
The calculation puts the formation energy from the elements at 0.031 eV per atom.

Cell lengths 10.5344, 10.5344, 12.2599 Å; angles 90.00, 90.00, 120.00 degrees
Space group R-3 (No. 148, hexagonal axes)
Symmetry-distinct sites (fractional):
Ac (0.0000, 0.0000, 0.1670) [6 per cell]
Ac (0.0453, 0.4259, 0.2800) [18 per cell]
Co (0.0000, 0.5000, 0.5000) [9 per cell]

VASP calculation (PBE) on CsSbPb after structural relaxation.

Computed properties:
As for the formation energy (no corrections): -0.900 eV per formula unit.

Cell lengths 4.6550, 4.6550, 21.4232 Å; angles 90.00, 90.00, 120.00 degrees
Space group R3m (No. 160, hexagonal axes)
Symmetry-distinct sites (fractional):
Cs (0.0000, 0.0000, 0.0000) [3 per cell]
Sb (0.0000, 0.0000, 0.5368) [3 per cell]
Pb (0.0000, 0.0000, 0.8028) [3 per cell]

VASP calculation (PBE) on NdSnS2O after structural relaxation.

Computed properties:
As for the formation energy (no corrections): -8.364 eV per formula unit.

Cell lengths 3.936, 3.936, 13.795 Å; angles 90.00, 90.00, 90.00 degrees
Space group P4/nmm (No. 129, origin choice 2)
Symmetry-distinct sites (fractional):
Nd (0.250, 0.250, 0.090) [2 per cell]
Sn (0.250, 0.250, 0.625) [2 per cell]
S (0.250, 0.250, 0.399) [2 per cell]
S (0.250, 0.250, 0.802) [2 per cell]
O (0.250, 0.750, 0.000) [2 per cell]

VASP calculation (PBE) on BaBe3Se after structural relaxation.

Computed properties:
As for the formation energy (no corrections): 4.036 eV per formula unit.

Cell lengths 4.757, 4.757, 4.757 Å; angles 90.00, 90.00, 90.00 degrees
Space group Pm-3m (No. 221)
Symmetry-distinct sites (fractional):
Ba (0.000, 0.000, 0.000) [1 per cell]
Be (0.000, 0.500, 0.500) [3 per cell]
Se (0.500, 0.500, 0.500) [1 per cell]

VASP calculation (PBE) on BiTeRuN2 after structural relaxation.

Computed properties:
As for the formation energy (no corrections): 5.266 eV per formula unit.

Cell lengths 4.081, 4.081, 5.537 Å; angles 90.00, 90.00, 90.00 degrees
Space group P4/mmm (No. 123)
Symmetry-distinct sites (fractional):
Bi (0.000, 0.000, 0.000) [1 per cell]
Te (0.500, 0.500, 0.000) [1 per cell]
Ru (0.500, 0.500, 0.500) [1 per cell]
N (0.000, 0.500, 0.500) [2 per cell]

VASP calculation (PBE) on CaCoSbPt2 after structural relaxation.

Computed properties:
As for the formation energy (no corrections): 0.631 eV per formula unit.

Cell lengths 5.022, 5.022, 4.706 Å; angles 90.00, 90.00, 90.00 degrees
Space group P4/mmm (No. 123)
Symmetry-distinct sites (fractional):
Ca (0.000, 0.000, 0.000) [1 per cell]
Co (0.500, 0.500, 0.000) [1 per cell]
Sb (0.500, 0.500, 0.500) [1 per cell]
Pt (0.000, 0.500, 0.500) [2 per cell]

VASP calculation (PBE) on LiCaCdSi after structural relaxation.

Computed properties:
As for the formation energy (no corrections): -0.782 eV per formula unit.

Cell lengths 6.972, 6.972, 6.972 Å; angles 90.00, 90.00, 90.00 degrees
Space group F-43m (No. 216)
Symmetry-distinct sites (fractional):
Li (0.000, 0.000, 0.000) [4 per cell]
Ca (0.000, 0.000, 0.500) [4 per cell]
Cd (0.250, 0.250, 0.250) [4 per cell]
Si (0.250, 0.250, 0.750) [4 per cell]

VASP calculation (PBE) on BeCr4Ru after structural relaxation.

Computed properties:
The calculation puts the formation energy from the elements at 0.192 eV per atom.

Cell lengths 6.602, 6.602, 6.602 Å; angles 90.00, 90.00, 90.00 degrees
Space group F-43m (No. 216)
Symmetry-distinct sites (fractional):
Be (0.000, 0.000, 0.000) [4 per cell]
Cr (0.127, 0.127, 0.627) [16 per cell]
Ru (0.250, 0.250, 0.250) [4 per cell]

VASP calculation (PBE) on In2GaNi7Sn2 after structural relaxation.

Computed properties:
The calculation puts the formation energy from the elements at -0.055 eV per atom.

Cell lengths 5.060, 5.060, 14.984 Å; angles 90.00, 99.52, 90.00 degrees
Space group C2/m (No. 12)
Symmetry-distinct sites (fractional):
In (0.123, 0.000, 0.252) [4 per cell]
Ga (0.000, 0.500, 0.000) [2 per cell]
Ni (0.000, 0.000, 0.000) [2 per cell]
Ni (0.192, 0.250, 0.881) [8 per cell]
Ni (0.214, 0.000, 0.442) [4 per cell]
Sn (0.187, 0.500, 0.386) [4 per cell]

VASP calculation (PBE) on LiCa2Te after structural relaxation.

Computed properties:
As for the formation energy (no corrections): -1.873 eV per formula unit.

Cell lengths 8.564, 8.564, 7.680 Å; angles 90.00, 90.00, 90.00 degrees
Space group I-42d (No. 122)
Symmetry-distinct sites (fractional):
Li (0.000, 0.000, 0.000) [4 per cell]
Ca (0.230, 0.250, 0.625) [8 per cell]
Te (0.000, 0.000, 0.500) [4 per cell]

VASP calculation (PBE) on Sr2BeW after structural relaxation.

Computed properties:
The calculation puts the formation energy from the elements at 0.670 eV per atom.

Cell lengths 3.436, 3.447, 9.225 Å; angles 90.00, 100.43, 90.00 degrees
Space group Pm (No. 6)
Symmetry-distinct sites (fractional):
Sr (0.000, 0.000, 0.000) [1 per cell]
Sr (0.279, 0.500, 0.586) [1 per cell]
Be (0.144, 0.000, 0.303) [1 per cell]
W (0.631, 0.500, 0.277) [1 per cell]

VASP calculation (PBE) on AgMoBr5 after structural relaxation.

Computed properties:
As for the formation energy (no corrections): -2.636 eV per formula unit.

Cell lengths 13.914, 7.031, 9.837 Å; angles 90.00, 108.12, 90.00 degrees
Space group C2/c (No. 15)
Symmetry-distinct sites (fractional):
Ag (0.000, 0.033, 0.250) [4 per cell]
Mo (0.000, 0.500, 0.000) [4 per cell]
Br (0.000, 0.355, 0.750) [4 per cell]
Br (0.106, 0.206, 0.484) [8 per cell]
Br (0.159, 0.325, 0.117) [8 per cell]

VASP calculation (PBE) on Ba2MgAu after structural relaxation.

Computed properties:
The calculation puts the formation energy from the elements at -0.333 eV per atom.

Cell lengths 4.058, 5.893, 12.091 Å; angles 90.00, 90.00, 90.00 degrees
Space group Imm2 (No. 44)
Symmetry-distinct sites (fractional):
Ba (0.000, 0.000, 0.000) [2 per cell]
Ba (0.000, 0.500, 0.191) [2 per cell]
Mg (0.000, 0.500, 0.803) [2 per cell]
Au (0.000, 0.000, 0.458) [2 per cell]

VASP calculation (PBE) on TlSb2PdI after structural relaxation.

Computed properties:
As for the formation energy (no corrections): 5.299 eV per formula unit.

Cell lengths 5.667, 5.667, 6.091 Å; angles 90.00, 90.00, 90.00 degrees
Space group P4/mmm (No. 123)
Symmetry-distinct sites (fractional):
Tl (0.000, 0.000, 0.000) [1 per cell]
Sb (0.000, 0.500, 0.000) [2 per cell]
Pd (0.500, 0.500, 0.500) [1 per cell]
I (0.000, 0.000, 0.500) [1 per cell]

VASP calculation (PBE) on Rb2MnCuH6 after structural relaxation.

Computed properties:
For the raw total energy, the calculation gives -3.507 eV per atom.

Cell lengths 5.255, 5.255, 9.897 Å; angles 90.00, 90.00, 90.00 degrees
Space group I4/mmm (No. 139)
Symmetry-distinct sites (fractional):
Rb (0.000, 0.500, 0.250) [4 per cell]
Mn (0.000, 0.000, 0.000) [2 per cell]
Cu (0.000, 0.000, 0.500) [2 per cell]
H (0.000, 0.000, 0.174) [4 per cell]
H (0.234, 0.234, 0.500) [8 per cell]

VASP calculation (PBE) on Dy12Ge3N5 after structural relaxation.

Computed properties:
As for the formation energy (no corrections): -20.120 eV per formula unit.

Cell lengths 15.258, 15.258, 15.258 Å; angles 90.00, 90.00, 90.00 degrees
Space group Ia-3d (No. 230)
Symmetry-distinct sites (fractional):
Dy (0.034, 0.053, 0.650) [96 per cell]
Ge (0.000, 0.250, 0.125) [24 per cell]
N (0.000, 0.000, 0.000) [16 per cell]
N (0.000, 0.250, 0.375) [24 per cell]

VASP calculation (PBE) on Mn5B2MoW2 after structural relaxation.

Computed properties:
The calculation puts the formation energy from the elements at -0.225 eV per atom.

Cell lengths 8.700, 8.700, 2.949 Å; angles 90.00, 90.00, 90.00 degrees
Space group P4/mbm (No. 127)
Symmetry-distinct sites (fractional):
Mn (0.000, 0.500, 0.000) [2 per cell]
Mn (0.069, 0.218, 0.000) [8 per cell]
B (0.121, 0.379, 0.500) [4 per cell]
Mo (0.000, 0.000, 0.500) [2 per cell]
W (0.176, 0.676, 0.500) [4 per cell]